PmScSb2 | PBE | relaxed

Calculated values
Calculated volume, Å³/cell: 104.4
Space-group type: P4/mmm, No. 123
DOS at the Fermi energy, states/eV/f.u.: 2.32
VASP energy, eV for the cell shown: -22.40
Crystal system: tetragonal
Energy above the most stable polymorph in this dataset, eV/atom: 0.280

Lattice parameters (Å, degrees): 3.992 3.992 6.552 90.00 90.00 90.00
Fractional coordinates of all 4 atoms:
Sc: 0.500 0.500 0.500
Sb: 0.000 0.000 0.736
Sb: 0.000 0.000 0.264
Pm: 0.500 0.500 0.000

PmScSb2 | PBE | relaxed

Calculated values
Calculated volume, Å³/cell: 114.9
Space-group type: R-3m, No. 166
DOS at the Fermi energy, states/eV/f.u.: 0.78
VASP energy, eV for the cell shown: -23.52
Crystal system: trigonal
Energy above the most stable polymorph in this dataset, eV/atom: 0.000

Lattice parameters (Å, degrees): 4.340 4.340 7.477 89.94 106.91 120.04
Fractional coordinates of all 4 atoms:
Pm: 0.000 0.500 0.500
Sc: 0.000 0.000 0.000
Sb: 0.515 0.257 0.772
Sb: 0.485 0.743 0.228

Pm4ScSb2 | PBE | relaxed

Calculated values
Calculated volume, Å³/cell: 227.8
Space-group type: I4/mmm, No. 139
DOS at the Fermi energy, states/eV/f.u.: 7.20
VASP energy, eV for the cell shown: -33.89
Crystal system: tetragonal

Lattice parameters (Å, degrees): 5.171 5.171 9.269 106.20 106.20 90.00
Fractional coordinates of all 7 atoms:
Pm: 0.818 0.818 0.636
Pm: 0.182 0.182 0.364
Pm: 0.000 0.500 0.000
Pm: 0.500 0.000 0.000
Sc: 0.000 0.000 0.000
Sb: 0.635 0.635 0.271
Sb: 0.365 0.365 0.729

PmScSb2 | PBE | relaxed

Calculated values
Calculated volume, Å³/cell: 230.8
Space-group type: Pmmn, No. 59
DOS at the Fermi energy, states/eV/f.u.: 0.63
VASP energy, eV for the cell shown: -46.94
Crystal system: orthorhombic
Energy above the most stable polymorph in this dataset, eV/atom: 0.014

Lattice parameters (Å, degrees): 4.325 6.177 8.639 90.00 90.00 90.00
Fractional coordinates of all 8 atoms:
Pm: 0.000 0.500 0.871
Pm: 0.500 0.000 0.129
Sc: 0.500 0.000 0.625
Sc: 0.000 0.500 0.375
Sb: 0.000 0.000 0.861
Sb: 0.000 0.000 0.393
Sb: 0.500 0.500 0.607
Sb: 0.500 0.500 0.139

Pm2ScSb2 | PBE | relaxed

Calculated values
Calculated volume, Å³/cell: 307.3
Space-group type: Ibam, No. 72
DOS at the Fermi energy, states/eV/f.u.: 3.96
VASP energy, eV for the cell shown: -56.65
Crystal system: orthorhombic

Lattice parameters (Å, degrees): 6.267 8.163 7.909 121.07 113.34 90.00
Fractional coordinates of all 10 atoms:
Pm: 0.853 0.706 0.705
Pm: 0.147 0.294 0.295
Pm: 0.647 0.001 0.295
Pm: 0.353 0.999 0.705
Sc: 0.750 0.500 0.000
Sc: 0.250 0.500 0.000
Sb: 0.392 0.656 0.785
Sb: 0.608 0.344 0.215
Sb: 0.108 0.871 0.215
Sb: 0.892 0.129 0.785

PmSc3Sb4 | PBE | relaxed

Calculated values
Calculated volume, Å³/cell: 217.6
Space-group type: Cmmm, No. 65
DOS at the Fermi energy, states/eV/f.u.: 1.43
VASP energy, eV for the cell shown: -48.05
Crystal system: orthorhombic

Lattice parameters (Å, degrees): 4.258 7.363 7.363 70.48 90.00 90.00
Fractional coordinates of all 8 atoms:
Sc: 0.500 0.000 0.500
Sc: 0.000 0.000 0.000
Sc: 0.000 0.500 0.500
Sb: 0.000 0.765 0.735
Sb: 0.500 0.758 0.258
Sb: 0.000 0.235 0.265
Sb: 0.500 0.243 0.742
Pm: 0.500 0.500 0.000

Pm3ScSb4 | PBE | relaxed

Calculated values
Calculated volume, Å³/cell: 488.1
Space-group type: P2/c, No. 13
DOS at the Fermi energy, states/eV/f.u.: 0.76
VASP energy, eV for the cell shown: -91.76
Crystal system: monoclinic

Lattice parameters (Å, degrees): 7.653 7.644 8.854 90.00 90.00 109.52
Fractional coordinates of all 16 atoms:
Sc: 0.750 0.000 0.876
Sc: 0.250 0.000 0.124
Sb: 0.993 0.243 0.632
Sb: 0.500 0.235 0.883
Sb: 0.493 0.243 0.368
Sb: 0.000 0.235 0.117
Sb: 0.000 0.765 0.883
Sb: 0.507 0.757 0.632
Sb: 0.500 0.765 0.117
Sb: 0.007 0.757 0.368
Pm: 0.750 0.000 0.374
Pm: 0.250 0.000 0.626
Pm: 0.750 0.500 0.627
Pm: 0.750 0.500 0.124
Pm: 0.250 0.500 0.373
Pm: 0.250 0.500 0.876

PmScSb2 | PBE | relaxed

Calculated values
Calculated volume, Å³/cell: 106.4
Space-group type: Fm-3m, No. 225
DOS at the Fermi energy, states/eV/f.u.: 2.51
VASP energy, eV for the cell shown: -22.20
Crystal system: cubic
Energy above the most stable polymorph in this dataset, eV/atom: 0.330

Lattice parameters (Å, degrees): 5.319 5.319 5.319 60.00 60.00 60.00
Fractional coordinates of all 4 atoms:
Sc: 0.500 0.500 0.500
Sb: 0.250 0.250 0.250
Sb: 0.750 0.750 0.750
Pm: 0.000 0.000 0.000

Pm2ScSb | PBE | relaxed

Calculated values
Calculated volume, Å³/cell: 124.2
Space-group type: R-3m, No. 166
DOS at the Fermi energy, states/eV/f.u.: 4.73
VASP energy, eV for the cell shown: -19.83
Crystal system: trigonal
Energy above the most stable polymorph in this dataset, eV/atom: 0.547

Lattice parameters (Å, degrees): 3.477 3.477 12.029 81.69 81.69 60.00
Fractional coordinates of all 4 atoms:
Sc: 0.500 0.500 0.500
Sb: 0.000 0.000 0.000
Pm: 0.089 0.089 0.734
Pm: 0.911 0.911 0.266

PmSc5Sb6 | PBE | relaxed

Calculated values
Calculated volume, Å³/cell: 319.5
Space-group type: C2/m, No. 12
DOS at the Fermi energy, states/eV/f.u.: 2.49
VASP energy, eV for the cell shown: -72.70
Crystal system: monoclinic

Lattice parameters (Å, degrees): 7.321 7.308 7.317 60.04 80.35 70.39
Fractional coordinates of all 12 atoms:
Pm: 0.000 0.000 0.000
Sc: 0.500 0.160 0.679
Sc: 0.000 0.331 0.337
Sc: 0.500 0.500 0.000
Sc: 0.000 0.669 0.663
Sc: 0.500 0.840 0.321
Sb: 0.740 0.087 0.346
Sb: 0.260 0.567 0.346
Sb: 0.253 0.263 0.000
Sb: 0.747 0.737 0.000
Sb: 0.740 0.433 0.654
Sb: 0.260 0.913 0.654

Pm4ScSb4 | PBE | relaxed

Calculated values
Calculated volume, Å³/cell: 313.3
Space-group type: I-42m, No. 121
DOS at the Fermi energy, states/eV/f.u.: 7.57
VASP energy, eV for the cell shown: -47.68
Crystal system: tetragonal

Lattice parameters (Å, degrees): 7.960 7.960 7.492 122.09 122.09 90.00
Fractional coordinates of all 9 atoms:
Pm: 0.500 0.000 0.000
Pm: 0.000 0.500 0.000
Pm: 0.326 0.326 0.653
Pm: 0.674 0.674 0.347
Sc: 0.000 0.000 0.000
Sb: 0.635 0.635 0.729
Sb: 0.365 0.906 0.271
Sb: 0.094 0.094 0.729
Sb: 0.906 0.365 0.271

PmScSb2 | PBE | relaxed

Calculated values
Calculated volume, Å³/cell: 105.1
Space-group type: P4/mmm, No. 123
DOS at the Fermi energy, states/eV/f.u.: 2.36
VASP energy, eV for the cell shown: -22.35
Crystal system: tetragonal
Energy above the most stable polymorph in this dataset, eV/atom: 0.293

Lattice parameters (Å, degrees): 3.308 5.637 5.637 90.00 90.00 90.00
Fractional coordinates of all 4 atoms:
Sc: 0.500 0.500 0.500
Sb: 0.000 0.000 0.500
Sb: 0.000 0.500 0.000
Pm: 0.500 0.000 0.000

Pm5Sc2Sb4 | PBE | relaxed

Calculated values
Calculated volume, Å³/cell: 341.4
Space-group type: C2/m, No. 12
DOS at the Fermi energy, states/eV/f.u.: 13.53
VASP energy, eV for the cell shown: -60.56
Crystal system: monoclinic

Lattice parameters (Å, degrees): 4.180 8.065 11.103 111.35 100.85 90.00
Fractional coordinates of all 11 atoms:
Pm: 0.160 0.929 0.320
Pm: 0.840 0.071 0.680
Pm: 0.159 0.388 0.318
Pm: 0.500 0.000 0.000
Pm: 0.841 0.612 0.682
Sc: 0.571 0.571 0.143
Sc: 0.429 0.429 0.857
Sb: 0.713 0.712 0.426
Sb: 0.000 0.710 0.001
Sb: 0.287 0.288 0.574
Sb: 0.000 0.290 0.999